1.
An optimized crystal structure of Li5Mg4Pd2, computed with PBE.

Cell lengths 2.977, 7.364, 9.635 Å; angles 90.70, 90.00, 90.00 degrees
Sites, in units of the cell vectors:
Li 0.000 0.563 0.322
Li 0.000 0.197 0.168
Li 0.000 0.500 0.000
Li 0.000 0.803 0.832
Li 0.000 0.437 0.678
Mg 0.500 0.786 0.554
Mg 0.500 0.165 0.880
Mg 0.500 0.214 0.446
Mg 0.500 0.835 0.120
Pd 0.000 0.073 0.656
Pd 0.000 0.927 0.344

Calculated values
- VASP energy (eV per atom) = -2.660
- density (g/cm3) = 2.710


2.
An optimized crystal structure of Li2Mg4Pd3, computed with PBE.

Cell lengths 4.422, 4.692, 8.245 Å; angles 84.68, 90.04, 61.84 degrees
Sites, in units of the cell vectors:
Li 0.317 0.364 0.752
Li 0.683 0.636 0.248
Mg 0.660 0.680 0.895
Mg 0.017 0.967 0.335
Mg 0.983 0.033 0.665
Mg 0.340 0.320 0.105
Pd 0.339 0.322 0.433
Pd 0.000 0.000 0.000
Pd 0.661 0.678 0.567

Calculated values
- VASP energy (eV per atom) = -3.355
- density (g/cm3) = 4.765


3.
An optimized crystal structure of LiMg5Pd4, computed with PBE.

Cell lengths 3.221, 3.221, 16.248 Å; angles 90.00, 90.00, 90.00 degrees
Sites, in units of the cell vectors:
Li 0.000 0.000 0.000
Mg 0.500 0.500 0.117
Mg 0.500 0.500 0.308
Mg 0.500 0.500 0.500
Mg 0.500 0.500 0.692
Mg 0.500 0.500 0.883
Pd 0.000 0.000 0.211
Pd 0.000 0.000 0.404
Pd 0.000 0.000 0.596
Pd 0.000 0.000 0.789

Calculated values
- VASP energy (eV per atom) = -3.675
- density (g/cm3) = 5.458


4.
An optimized crystal structure of Li7MgPd2, computed with PBE.

Cell lengths 2.824, 5.085, 12.068 Å; angles 102.16, 90.00, 90.00 degrees
Sites, in units of the cell vectors:
Li 0.000 0.790 0.581
Li 0.000 0.210 0.419
Li 0.500 0.640 0.786
Li 0.500 0.360 0.214
Li 0.500 0.855 0.214
Li 0.500 0.145 0.786
Li 0.500 0.500 0.000
Mg 0.000 0.000 0.000
Pd 0.500 0.698 0.396
Pd 0.500 0.302 0.604

Calculated values
- VASP energy (eV per atom) = -2.664
- density (g/cm3) = 2.800
- polymorph energy (0 for the lowest one) (meV/atom) = 0.0


5.
An optimized crystal structure of LiMg2Pd6, computed with PBE.

Cell lengths 2.824, 7.425, 7.954 Å; angles 117.82, 100.23, 90.00 degrees
Sites, in units of the cell vectors:
Li 0.000 0.000 0.000
Mg 0.673 0.666 0.331
Mg 0.327 0.334 0.669
Pd 0.168 0.358 0.331
Pd 0.832 0.027 0.669
Pd 0.832 0.642 0.669
Pd 0.500 0.303 0.000
Pd 0.168 0.973 0.331
Pd 0.500 0.697 0.000

Calculated values
- VASP energy (eV per atom) = -4.389
- density (g/cm3) = 7.977


6.
An optimized crystal structure of Li2Mg5Pd, computed with PBE.

Cell lengths 6.947, 6.947, 8.083 Å; angles 115.45, 115.45, 90.00 degrees
Sites, in units of the cell vectors:
Li 0.131 0.369 0.000
Li 0.631 0.131 0.000
Li 0.369 0.869 0.000
Li 0.869 0.631 0.000
Mg 0.506 0.676 0.682
Mg 0.824 0.994 0.318
Mg 0.000 0.000 0.000
Mg 0.500 0.500 0.000
Mg 0.176 0.006 0.682
Mg 0.676 0.176 0.682
Mg 0.006 0.506 0.682
Mg 0.324 0.824 0.318
Mg 0.994 0.494 0.318
Mg 0.494 0.324 0.318
Pd 0.750 0.750 0.500
Pd 0.250 0.250 0.500

Calculated values
- VASP energy (eV per atom) = -2.290
- density (g/cm3) = 2.593


Looking at formation energy from the elements for the records above, in order, we have -266; -490; -609; -126; -361; -166 meV/atom.